[1]
This record from OQMD describes crystalline Ir2Pd at its relaxed geometry. The functional is PBE.

The structure belongs to space group Fd-3m (No. 227, origin choice 2); the cell edges are 11.1409, 11.1409 and 11.1409 Å and the angles 90.00°, 90.00° and 90.00°. The inequivalent atoms are Ir at (0.0000, 0.0000, 0.0000) and Pd at (0.1250, 0.1250, 0.1250).

The polymorph energy (0 for the lowest one) is 2844 meV/atom.


[2]
This record from OQMD describes crystalline IrPd2 at its relaxed geometry. The functional is PBE.

The structure belongs to space group Fd-3m (No. 227, origin choice 2); the cell edges are 7.2000, 7.2000 and 7.2000 Å and the angles 90.00°, 90.00° and 90.00°. The inequivalent atoms are Ir at (0.1250, 0.1250, 0.1250) and Pd at (0.0000, 0.0000, 0.5000).


[3]
This record from OQMD describes crystalline Pm4IrPd3 at its relaxed geometry. The functional is PBE.

The structure belongs to space group Pmm2 (No. 25); the cell edges are 3.8513, 4.5774 and 10.7599 Å and the angles 90.00°, 90.00° and 90.00°. The inequivalent atoms are Pm at (0.0000, 0.0000, 0.0000), Pm at (0.0000, 0.5000, 0.2663), Pm at (0.5000, 0.0000, 0.4829), Pm at (0.5000, 0.5000, 0.7652), Ir at (0.5000, 0.0000, 0.2162), Pd at (0.0000, 0.0000, 0.7140), Pd at (0.0000, 0.5000, 0.5468) and Pd at (0.5000, 0.5000, 0.0412).


[4]
This record from OQMD describes crystalline PrIrPd at its relaxed geometry. The functional is PBE.

The structure belongs to space group F-43m (No. 216); the cell edges are 6.5844, 6.5844 and 6.5844 Å and the angles 90.00°, 90.00° and 90.00°. The inequivalent atoms are Pr at (0.0000, 0.0000, 0.0000), Ir at (0.2500, 0.2500, 0.7500) and Pd at (0.2500, 0.2500, 0.2500).

The polymorph energy (0 for the lowest one) is 344 meV/atom.


The records above yield DFT formation energy values of 3.369; 0.619; -0.812; 0.199 eV/atom, respectively.